(1)
Below is a relaxed SrCa2Ag crystal, with properties calculated at the PBE level.

a b c (Å): 7.183 7.183 7.183
angles (deg): 148.43 130.78 59.66
Sites, in units of the cell vectors:
Sr  0.000  0.000  0.000
Ca  0.303  0.803  0.500
Ca  0.697  0.197  0.500
Ag  0.500  0.500  0.000

As for the density of states at the Fermi level: 4.12 states/eV per cell. As for the energy of formation from the pure elements: -0.13 eV per atom. Its energy relative to the lowest polymorph listed for this composition is 57 meV per atom. The space-group type is Immm, No. 71. The total DFT energy (no corrections) comes out at -2.262 eV per atom.


(2)
Below is a relaxed SrCaAg6 crystal, with properties calculated at the PBE level.

a b c (Å): 5.635 5.635 5.635
angles (deg): 90.00 90.00 90.00
Sites, in units of the cell vectors:
Sr  0.000  0.000  0.000
Ca  0.500  0.500  0.500
Ag  0.000  0.253  0.500
Ag  0.000  0.747  0.500
Ag  0.253  0.500  0.000
Ag  0.500  0.000  0.253
Ag  0.500  0.000  0.747
Ag  0.747  0.500  0.000

As for the density of states at the Fermi level: 3.41 states/eV per cell. As for the energy of formation from the pure elements: -0.11 eV per atom. Its energy relative to the lowest polymorph listed for this composition is 77 meV per atom. The space-group type is Pm-3, No. 200. The total DFT energy (no corrections) comes out at -2.713 eV per atom.